1.
{"formula": "La2Er", "functional": "GGA-PBE", "state": "relaxed", "formation_enthalpy_0k_kj_per_mol_atoms": 24.01, "de_polymorph_mev_per_atom": 0, "lattice_angstrom": [[0.000, 4.738, 4.738], [4.738, 0.000, 4.738], [4.738, 4.738, 0.000]], "species": ["La", "La", "La", "La", "Er", "Er"], "frac_coords": [[0.000, 0.000, 0.000], [0.000, 0.000, 0.500], [0.000, 0.500, 0.000], [0.500, 0.000, 0.000], [0.375, 0.375, 0.375], [0.625, 0.625, 0.625]]}

***

2.
{"formula": "Li4SnGePd2", "functional": "GGA-PBE", "state": "relaxed", "lattice_angstrom": [[4.365, 0.000, 0.000], [0.000, 4.365, 0.000], [0.000, 0.000, 6.290]], "species": ["Li", "Li", "Li", "Li", "Sn", "Ge", "Pd", "Pd"], "frac_coords": [[0.000, 0.000, 0.000], [0.000, 0.500, 0.229], [0.500, 0.000, 0.771], [0.500, 0.500, 0.500], [0.000, 0.000, 0.500], [0.500, 0.500, 0.000], [0.000, 0.500, 0.768], [0.500, 0.000, 0.232]]}

***

3.
{"formula": "ZrZnCoIr", "functional": "GGA-PBE", "state": "relaxed", "formation_enthalpy_0k_kj_per_mol_atoms": -11.71, "de_polymorph_mev_per_atom": 333, "lattice_angstrom": [[0.000, 3.155, 3.155], [3.155, 0.000, 3.155], [3.155, 3.155, 0.000]], "species": ["Zr", "Zn", "Co", "Ir"], "frac_coords": [[0.000, 0.000, 0.000], [0.250, 0.250, 0.250], [0.500, 0.500, 0.500], [0.750, 0.750, 0.750]]}

***

Quick rundown of electronic total energy, same order as above: -4.554, -3.896, -6.565 eV per atom